1.
The following is a DFT calculation (PBE) of a geometry-optimized Tc2IO structure.

```
data_Tc2IO
_chemical_formula_sum 'Tc8 I4 O4'
_symmetry_space_group_name_H-M 'F m -3 m'
_symmetry_Int_Tables_number 225
_symmetry_space_group_name_Hall '-F 4 2 3'
_cell_length_a 6.153
_cell_length_b 6.153
_cell_length_c 6.153
_cell_angle_alpha 90.00
_cell_angle_beta 90.00
_cell_angle_gamma 90.00
loop_
_atom_site_label
_atom_site_fract_x
_atom_site_fract_y
_atom_site_fract_z
Tc1 0.250 0.250 0.250
I1 0.000 0.000 0.000
O1 0.000 0.000 0.500
```

Calculated values
Mass density   9.66 g/cm3
Formation energy (no corrections)   3.14 eV/f.u.
E above lowest polymorph   0.584 eV/atom
Volume   14.56 A^3/atom

2.
The following is a DFT calculation (PBE) of a geometry-optimized TbPrSc2Tl4 structure.

```
data_TbPrSc2Tl4
_chemical_formula_sum 'Tb3 Pr3 Sc6 Tl12'
_symmetry_space_group_name_H-M 'R -3 m'
_symmetry_Int_Tables_number 166
_symmetry_space_group_name_Hall '-R 3 2"'
_cell_length_a 5.2960
_cell_length_b 5.2960
_cell_length_c 26.0096
_cell_angle_alpha 90.00
_cell_angle_beta 90.00
_cell_angle_gamma 120.00
loop_
_atom_site_label
_atom_site_fract_x
_atom_site_fract_y
_atom_site_fract_z
Tb1 0.0000 0.0000 0.0000
Pr1 0.0000 0.0000 0.5000
Sc1 0.0000 0.0000 0.2502
Tl1 0.0000 0.0000 0.1230
Tl2 0.0000 0.0000 0.3732
```

Calculated values
Mass density   9.52 g/cm3
Formation energy from the elements   -299 meV/atom
Volume   26.32 A^3/atom

3.
The following is a DFT calculation (PBE) of a geometry-optimized Cu2SbBr6 structure.

```
data_Cu2SbBr6
_chemical_formula_sum 'Cu4 Sb2 Br12'
_symmetry_space_group_name_H-M 'C 1 2/m 1'
_symmetry_Int_Tables_number 12
_cell_length_a 15.833
_cell_length_b 3.873
_cell_length_c 10.445
_cell_angle_alpha 90.00
_cell_angle_beta 102.87
_cell_angle_gamma 90.00
loop_
_symmetry_equiv_pos_as_xyz
'x,y,z'
'-x,-y,-z'
'-x,y,-z'
'x,-y,z'
'x+1/2,y+1/2,z'
'-x+1/2,-y+1/2,-z'
'-x+1/2,y+1/2,-z'
'x+1/2,-y+1/2,z'
loop_
_atom_site_label
_atom_site_fract_x
_atom_site_fract_y
_atom_site_fract_z
Cu1 0.203 0.000 0.341
Sb1 0.000 0.000 0.000
Br1 0.051 0.000 0.281
Br2 0.127 0.500 0.982
Br3 0.209 0.000 0.644
```

Calculated values
Mass density   3.87 g/cm3
Formation energy (no corrections)   -3.72 eV/f.u.
E above lowest polymorph   0.000 eV/atom
Volume   34.69 A^3/atom

4.
The following is a DFT calculation (PBE) of a geometry-optimized Sr2MgIn12Pt3 structure.

```
data_Sr2MgIn12Pt3
_chemical_formula_sum 'Sr6 Mg3 In36 Pt9'
_symmetry_space_group_name_H-M 'R -3 m'
_symmetry_Int_Tables_number 166
_symmetry_space_group_name_Hall '-R 3 2"'
_cell_length_a 9.8862
_cell_length_b 9.8862
_cell_length_c 19.5753
_cell_angle_alpha 90.00
_cell_angle_beta 90.00
_cell_angle_gamma 120.00
loop_
_atom_site_label
_atom_site_fract_x
_atom_site_fract_y
_atom_site_fract_z
Sr1 0.0000 0.0000 0.0947
Mg1 0.0000 0.0000 0.5000
In1 0.0174 0.5087 0.8632
In2 0.0576 0.5288 0.3102
Pt1 0.0000 0.5000 0.0000
```

Calculated values
Mass density   6.50 g/cm3
Formation energy from the elements   -149 meV/atom
Volume   30.68 A^3/atom

5.
The following is a DFT calculation (PBE) of a geometry-optimized BaAgTe2 structure.

```
data_BaAgTe2
_chemical_formula_sum 'Ba2 Ag2 Te4'
_symmetry_space_group_name_H-M 'I m m 2'
_symmetry_Int_Tables_number 44
_cell_length_a 4.422
_cell_length_b 5.206
_cell_length_c 11.388
_cell_angle_alpha 90.00
_cell_angle_beta 90.00
_cell_angle_gamma 90.00
loop_
_symmetry_equiv_pos_as_xyz
'x,y,z'
'-x,-y,z'
'-x,y,z'
'x,-y,z'
'x+1/2,y+1/2,z+1/2'
'-x+1/2,-y+1/2,z+1/2'
'-x+1/2,y+1/2,z+1/2'
'x+1/2,-y+1/2,z+1/2'
loop_
_atom_site_label
_atom_site_fract_x
_atom_site_fract_y
_atom_site_fract_z
Ba1 0.000 0.000 0.000
Ag1 0.000 0.500 0.793
Te1 0.000 0.000 0.463
Te2 0.000 0.500 0.224
```

Calculated values
Mass density   6.34 g/cm3
Formation energy (no corrections)   -2.41 eV/f.u.
Volume   32.77 A^3/atom

6.
The following is a DFT calculation (PBE) of a geometry-optimized KHg2Mo structure.

```
data_KHg2Mo
_chemical_formula_sum 'K2 Hg4 Mo2'
_symmetry_space_group_name_H-M 'I -4 m 2'
_symmetry_Int_Tables_number 119
_symmetry_space_group_name_Hall 'I -4 -2'
_cell_length_a 4.442
_cell_length_b 4.442
_cell_length_c 10.381
_cell_angle_alpha 90.00
_cell_angle_beta 90.00
_cell_angle_gamma 90.00
loop_
_atom_site_label
_atom_site_fract_x
_atom_site_fract_y
_atom_site_fract_z
K1 0.000 0.000 0.000
Hg1 0.000 0.000 0.500
Hg2 0.000 0.500 0.250
Mo1 0.000 0.500 0.750
```

Calculated values
Mass density   8.70 g/cm3
Formation energy from the elements   856 meV/atom
E above lowest polymorph   0.333 eV/atom
Volume   25.60 A^3/atom

7.
The following is a DFT calculation (PBE) of a geometry-optimized La2Cu3Pd structure.

```
data_La2Cu3Pd
_chemical_formula_sum 'La16 Cu24 Pd8'
_symmetry_space_group_name_H-M 'F m m m'
_symmetry_Int_Tables_number 69
_symmetry_space_group_name_Hall '-F 2 2'
_cell_length_a 7.736
_cell_length_b 8.725
_cell_length_c 15.243
_cell_angle_alpha 90.00
_cell_angle_beta 90.00
_cell_angle_gamma 90.00
loop_
_atom_site_label
_atom_site_fract_x
_atom_site_fract_y
_atom_site_fract_z
La1 0.248 0.000 0.000
La2 0.250 0.250 0.250
Cu1 0.000 0.000 0.338
Cu2 0.000 0.244 0.419
Pd1 0.000 0.000 0.168
```

Calculated values
Mass density   7.42 g/cm3
Formation energy from the elements   -398 meV/atom
E above lowest polymorph   0.000 eV/atom
Volume   21.43 A^3/atom

8.
The following is a DFT calculation (PBE) of a geometry-optimized Y3PaSb4 structure.

```
data_Y3PaSb4
_chemical_formula_sum 'Y6 Pa2 Sb8'
_symmetry_space_group_name_H-M 'I 4/m m m'
_symmetry_Int_Tables_number 139
_symmetry_space_group_name_Hall '-I 4 2'
_cell_length_a 6.198
_cell_length_b 6.198
_cell_length_c 12.383
_cell_angle_alpha 90.00
_cell_angle_beta 90.00
_cell_angle_gamma 90.00
loop_
_atom_site_label
_atom_site_fract_x
_atom_site_fract_y
_atom_site_fract_z
Y1 0.000 0.000 0.000
Y2 0.000 0.500 0.250
Pa1 0.000 0.000 0.500
Sb1 0.000 0.000 0.252
Sb2 0.000 0.500 0.000
```

Calculated values
Mass density   6.88 g/cm3
Formation energy (no corrections)   -7.86 eV/f.u.
Volume   29.73 A^3/atom

9.
The following is a DFT calculation (PBE) of a geometry-optimized PrYBi2 structure.

```
data_PrYBi2
_chemical_formula_sum 'Pr3 Y3 Bi6'
_symmetry_space_group_name_H-M 'R 3 m'
_symmetry_Int_Tables_number 160
_symmetry_space_group_name_Hall 'R 3 -2"'
_cell_length_a 4.5322
_cell_length_b 4.5322
_cell_length_c 23.2508
_cell_angle_alpha 90.00
_cell_angle_beta 90.00
_cell_angle_gamma 120.00
loop_
_atom_site_label
_atom_site_fract_x
_atom_site_fract_y
_atom_site_fract_z
Pr1 0.0000 0.0000 0.0000
Y1 0.0000 0.0000 0.8291
Bi1 0.0000 0.0000 0.4161
Bi2 0.0000 0.0000 0.5794
```

Calculated values
Mass density   7.80 g/cm3
Formation energy from the elements   -812 meV/atom
E above lowest polymorph   0.113 eV/atom
Volume   34.47 A^3/atom

10.
The following is a DFT calculation (PBE) of a geometry-optimized Rb3Zr3MnS8 structure.

```
data_Rb3Zr3MnS8
_chemical_formula_sum 'Rb6 Zr6 Mn2 S16'
_symmetry_space_group_name_H-M 'C 1 2/m 1'
_symmetry_Int_Tables_number 12
_cell_length_a 13.069
_cell_length_b 7.535
_cell_length_c 8.950
_cell_angle_alpha 90.00
_cell_angle_beta 119.18
_cell_angle_gamma 90.00
loop_
_symmetry_equiv_pos_as_xyz
'x,y,z'
'-x,-y,-z'
'-x,y,-z'
'x,-y,z'
'x+1/2,y+1/2,z'
'-x+1/2,-y+1/2,-z'
'-x+1/2,y+1/2,-z'
'x+1/2,-y+1/2,z'
loop_
_atom_site_label
_atom_site_fract_x
_atom_site_fract_y
_atom_site_fract_z
Rb1 0.000 0.000 0.000
Rb2 0.250 0.250 0.000
Zr1 0.000 0.500 0.500
Zr2 0.250 0.250 0.500
Mn1 0.000 0.000 0.500
S1 0.023 0.253 0.317
S2 0.230 0.000 0.683
S3 0.230 0.500 0.690
```

Calculated values
Mass density   3.63 g/cm3
Formation energy (no corrections)   -20.43 eV/f.u.
Volume   25.65 A^3/atom